Density functional theory data (PBE) for an optimized crystal structure of BaCr2Sb.

Values from the calculation:
* raw formation energy: 1.10 eV per formula unit
* space group: P4mm

Unit cell a=3.492 b=3.492 c=7.975 alpha=90.00 beta=90.00 gamma=90.00
Element x y z (fractional)
Ba 0.000 0.000 0.000
Cr 0.000 0.000 0.448
Cr 0.500 0.500 0.328
Sb 0.500 0.500 0.670